! TaV3Pd (PBE, relaxed); values from VASP
&SYSTEM
  ibrav = 0, nat = 5, ntyp = 3
/
ATOMIC_SPECIES
Ta 180.95 Ta.upf
Pd 106.42 Pd.upf
V 50.94 V.upf
CELL_PARAMETERS angstrom
-1.978 -3.498 2.240
4.153 -1.731 0.964
0.110 2.437 3.902
ATOMIC_POSITIONS crystal
Ta 0.000 0.000 0.000
Pd 0.500 0.500 0.500
V 0.000 0.500 0.000
V 0.000 0.000 0.500
V 0.500 0.000 0.000
! E_form: 1.47 eV per atom
! Relative energy among the computed polymorphs: 90.5 meV/atom
! Calculated volume: 97.4 Å³/f.u.
! DOS(E_F): 5.835 states/eV/cell